This record from the Alexandria database describes a relaxed structure of CeSmDy3Tm. The functional is PBE.

Calculated values
- total energy (eV per atom) = -4.6600
- energy of formation from the pure elements (eV per atom) = 0.162
- space-group type = No. 63
- size of the total moment (μB/atom) = 0.267

Unit cell a=5.6645 b=6.5608 c=11.3701 alpha=90.00 beta=90.00 gamma=115.57
With the nearest neighbours (Å) after each atom.
Atoms (fractional coordinates):
Sm: 0.0000 0.0000 0.5000  6 Dy 3.32-3.52, 2 Tm 3.49
Sm: 0.0000 0.0000 0.0000  6 Dy 3.32-3.52, 2 Tm 3.49
Ce: 0.5260 0.0521 0.7500  4 Dy 3.16-3.48
Ce: 0.4740 0.9479 0.2500  4 Dy 3.16-3.48
Dy: 0.3259 0.6517 0.5262  3 Dy 3.32-3.41, 2 Ce 3.48-3.60, 2 Sm 3.52, 1 Tm 3.63
Tm: 0.1715 0.3431 0.2500  2 Sm 3.49, 9 Dy 3.57-3.81, 3 Ce 3.58-3.67
Dy: 0.8549 0.7098 0.2500  2 Ce 3.16, 2 Sm 3.32, 2 Dy 3.32
Dy: 0.6741 0.3483 0.4738  3 Dy 3.32-3.41, 2 Ce 3.48-3.60, 2 Sm 3.52, 1 Tm 3.63
Dy: 0.3259 0.6517 0.9738  3 Dy 3.32-3.41, 2 Ce 3.48-3.60, 2 Sm 3.52, 1 Tm 3.63
Dy: 0.1451 0.2902 0.7500  2 Ce 3.16, 2 Sm 3.32, 2 Dy 3.32
Dy: 0.6741 0.3483 0.0262  3 Dy 3.32-3.41, 2 Ce 3.48-3.60, 2 Sm 3.52, 1 Tm 3.63
Tm: 0.8285 0.6569 0.7500  2 Sm 3.49, 9 Dy 3.57-3.81, 3 Ce 3.58-3.67